Entry from Alexandria via LeMat-Bulk: crystalline Li2MoHO4 at its relaxed geometry (GGA+U).

Cell lengths 7.481, 6.019, 4.064 Å; angles 90.00, 90.00, 90.00 degrees
Space group Pmn2_1 (No. 31)
One atom of each set of equivalent atoms:
1 Li 0.236 0.167 0.000 x4
2 Mo 0.000 0.682 0.993 x2
3 H 0.000 0.331 0.701 x2
4 O 0.000 0.343 0.943 x2
5 O 0.000 0.667 0.489 x2
6 O 0.213 0.830 0.993 x4

Calculated values
E_tot   -5.971 eV per atom